Record 1
Rb2InHg2 PBE relaxed; total magnetic moment = 0.00 μB/f.u.; theoretical density = 5.59 Mg/m³; formation enthalpy at 0 K = -17 meV per atom; total energy = -1.072 eV per atom; SG = P4/mbm, No. 127
1.0
10.502 0.000 0.000
0.000 10.502 0.000
0.000 0.000 3.703
Rb In Hg
4 2 4
Direct
0.187 0.313 0.000
0.313 0.813 0.000
0.687 0.187 0.000
0.813 0.687 0.000
0.000 0.000 0.000
0.500 0.500 0.000
0.105 0.605 0.500
0.395 0.105 0.500
0.605 0.895 0.500
0.895 0.395 0.500

=====

Record 2
Rb12In3Hg5 PBE relaxed; total magnetic moment = 0.00 μB/f.u.; theoretical density = 3.07 Mg/m³; formation enthalpy at 0 K = 38 meV per atom; total energy = -1.029 eV per atom; SG = Ia-3d, No. 230
1.0
-10.868 10.868 10.868
10.868 -10.868 10.868
10.868 10.868 -10.868
Rb In Hg
48 12 20
Direct
0.054 0.226 0.132
0.054 0.328 0.922
0.078 0.632 0.406
0.078 0.946 0.672
0.094 0.726 0.672
0.094 0.868 0.422
0.132 0.054 0.226
0.132 0.578 0.906
0.172 0.226 0.594
0.172 0.446 0.578
0.226 0.132 0.054
0.226 0.594 0.172
0.274 0.328 0.906
0.274 0.446 0.368
0.328 0.906 0.274
0.328 0.922 0.054
0.368 0.274 0.446
0.368 0.594 0.922
0.406 0.078 0.632
0.406 0.828 0.774
0.422 0.094 0.868
0.422 0.828 0.554
0.446 0.368 0.274
0.446 0.578 0.172
0.554 0.422 0.828
0.554 0.632 0.726
0.578 0.172 0.446
0.578 0.906 0.132
0.594 0.172 0.226
0.594 0.922 0.368
0.632 0.406 0.078
0.632 0.726 0.554
0.672 0.078 0.946
0.672 0.094 0.726
0.726 0.554 0.632
0.726 0.672 0.094
0.774 0.406 0.828
0.774 0.868 0.946
0.828 0.554 0.422
0.828 0.774 0.406
0.868 0.422 0.094
0.868 0.946 0.774
0.906 0.132 0.578
0.906 0.274 0.328
0.922 0.054 0.328
0.922 0.368 0.594
0.946 0.672 0.078
0.946 0.774 0.868
0.125 0.250 0.375
0.125 0.375 0.750
0.250 0.375 0.125
0.250 0.875 0.625
0.375 0.125 0.250
0.375 0.750 0.125
0.625 0.250 0.875
0.625 0.875 0.750
0.750 0.125 0.375
0.750 0.625 0.875
0.875 0.625 0.250
0.875 0.750 0.625
0.000 0.000 0.000
0.000 0.000 0.500
0.000 0.500 0.000
0.000 0.500 0.500
0.125 0.750 0.875
0.125 0.875 0.250
0.250 0.125 0.875
0.250 0.625 0.375
0.375 0.250 0.625
0.375 0.625 0.750
0.500 0.000 0.000
0.500 0.000 0.500
0.500 0.500 0.000
0.500 0.500 0.500
0.625 0.375 0.250
0.625 0.750 0.375
0.750 0.375 0.625
0.750 0.875 0.125
0.875 0.125 0.750
0.875 0.250 0.125